Ga2SbC | PBE-GGA | relaxed

Lattice parameters (Å, degrees): 6.6140 6.6140 6.6140 90.00 90.00 90.00
Positions (direct):
Ga1 0.2500 0.2500 0.2500
Ga2 0.2500 0.2500 0.7500
Ga3 0.2500 0.7500 0.2500
Ga4 0.2500 0.7500 0.7500
Ga5 0.7500 0.2500 0.2500
Ga6 0.7500 0.2500 0.7500
Ga7 0.7500 0.7500 0.2500
Ga8 0.7500 0.7500 0.7500
Sb1 0.0000 0.0000 0.0000
Sb2 0.0000 0.5000 0.5000
Sb3 0.5000 0.0000 0.5000
Sb4 0.5000 0.5000 0.0000
C1 0.0000 0.0000 0.5000
C2 0.0000 0.5000 0.0000
C3 0.5000 0.0000 0.0000
C4 0.5000 0.5000 0.5000

N(E_F) (states/eV/atom): 0.47
Energy above the most stable polymorph in this dataset (eV per formula unit): 3.77
VASP energy (eV per cell): -56.19
Mass density (g/cm³): 6.27